Here is a geometry-optimized ZrCoN2O structure from the Alexandria database. Energies are from PBE with a Hubbard U.

The structure in POSCAR format:
```
ZrCoN2O
1.0
3.6678 0.0000 0.0000
0.0000 3.6678 0.0000
0.0000 0.0000 3.7028
Zr Co N O
1 1 2 1
direct
0.0000 0.0000 0.0000 Zr
0.5000 0.5000 0.5000 Co
0.0000 0.5000 0.5000 N
0.5000 0.0000 0.5000 N
0.5000 0.5000 0.0000 O
```

Summary:
The uncorrected energy comes out at -7.333 eV/atom. The space group is No. 123.